[1]
Compound: Mn2FeCl
Source: the Alexandria database
Functional: GGA-PBE
Structure: optimized geometry

abc: 3.7323 3.7323 8.8768
angles: 90.00 90.00 90.00
With the nearest neighbours (Å) after each atom.
Space group I-4m2 (No. 119)
Asymmetric unit:
Mn (0.0000, 0.0000, 0.0000) [2 per cell]  4 Fe 2.64, 4 Mn 2.90, 4 Cl 2.90
Mn (0.0000, 0.5000, 0.2500) [2 per cell]  4 Cl 2.64, 4 Fe 2.90, 4 Mn 2.90
Fe (0.0000, 0.0000, 0.5000) [2 per cell]  8 Mn 2.64-2.90, 4 Cl 2.90
Cl (0.0000, 0.5000, 0.7500) [2 per cell]  8 Mn 2.64-2.90, 4 Fe 2.90

Computed properties:
For the energy relative to the elements, uncorrected, the calculation gives 664 meV per atom. As for the energy above the most stable polymorph in this dataset: 2.03 eV/f.u. The value obtained for the volume is 15.46 A^3/atom. The magnetization is 11.0 μB per formula unit.

---

[2]
Compound: Mn2FeCl
Source: the Alexandria database
Functional: GGA-PBE
Structure: optimized geometry

abc: 5.6762 5.6762 5.6762
angles: 90.00 90.00 90.00
With the nearest neighbours (Å) after each atom.
Space group Fm-3m (No. 225)
Asymmetric unit:
Mn (0.2500, 0.2500, 0.2500) [8 per cell]  4 Cl 2.46, 4 Fe 2.46
Fe (0.0000, 0.0000, 0.0000) [4 per cell]  8 Mn 2.46
Cl (0.0000, 0.0000, 0.5000) [4 per cell]  8 Mn 2.46

Computed properties:
For the energy relative to the elements, uncorrected, the calculation gives 945 meV per atom. As for the energy above the most stable polymorph in this dataset: 3.16 eV/f.u. The value obtained for the volume is 11.43 A^3/atom. The magnetization is 0.0 μB per formula unit.